[1]
This record from the Alexandria database describes La2Y5Sc2 after structural relaxation. The functional is GGA-PBE.

Summary:
Energy relative to the elements in meV/atom: 51

CIF file:
```
data_La2Y5Sc2
_cell_length_a 6.104
_cell_length_b 6.150
_cell_length_c 7.950
_cell_angle_alpha 82.56
_cell_angle_beta 75.11
_cell_angle_gamma 80.03
_space_group_name_H-M_alt 'P 1'
_space_group_IT_number 1
loop_
_space_group_symop_operation_xyz
'x,y,z'
loop_
_atom_site_label
_atom_site_fract_x
_atom_site_fract_y
_atom_site_fract_z
_atom_site_occupancy
La1 0.177 0.328 0.338 1
La2 0.823 0.672 0.662 1
Y1 0.056 0.109 0.775 1
Y2 0.277 0.552 0.883 1
Y3 0.500 0.000 0.000 1
Y4 0.723 0.448 0.117 1
Y5 0.944 0.891 0.225 1
Sc1 0.395 0.775 0.445 1
Sc2 0.605 0.225 0.555 1
```



[2]
This record from the Alexandria database describes ReSe2Br after structural relaxation. The functional is GGA-PBE.

CIF file:
```
data_ReSe2Br
_cell_length_a 3.428
_cell_length_b 3.428
_cell_length_c 7.616
_cell_angle_alpha 90.00
_cell_angle_beta 90.00
_cell_angle_gamma 90.00
_space_group_name_H-M_alt 'P 1'
_space_group_IT_number 1
loop_
_space_group_symop_operation_xyz
'x,y,z'
loop_
_atom_site_label
_atom_site_fract_x
_atom_site_fract_y
_atom_site_fract_z
_atom_site_occupancy
Re1 0.000 0.000 0.000 1
Se1 0.000 0.000 0.328 1
Se2 0.500 0.500 0.130 1
Br1 0.500 0.500 0.731 1
```



[3]
This record from the Alexandria database describes RbCdRh3 after structural relaxation. The functional is GGA-PBE.

Summary:
Energy relative to the elements in meV/atom: 1279

CIF file:
```
data_RbCdRh3
_cell_length_a 5.082
_cell_length_b 5.082
_cell_length_c 5.082
_cell_angle_alpha 90.00
_cell_angle_beta 90.00
_cell_angle_gamma 90.00
_space_group_name_H-M_alt 'P 1'
_space_group_IT_number 1
loop_
_space_group_symop_operation_xyz
'x,y,z'
loop_
_atom_site_label
_atom_site_fract_x
_atom_site_fract_y
_atom_site_fract_z
_atom_site_occupancy
Rb1 0.000 0.000 0.000 1
Cd1 0.500 0.500 0.500 1
Rh1 0.000 0.500 0.500 1
Rh2 0.500 0.000 0.500 1
Rh3 0.500 0.500 0.000 1
```



[4]
This record from the Alexandria database describes ZrInCoAu after structural relaxation. The functional is GGA-PBE.

Summary:
Energy relative to the elements in meV/atom: -238

CIF file:
```
data_ZrInCoAu
_cell_length_a 4.667
_cell_length_b 4.667
_cell_length_c 4.667
_cell_angle_alpha 60.00
_cell_angle_beta 60.00
_cell_angle_gamma 60.00
_space_group_name_H-M_alt 'P 1'
_space_group_IT_number 1
loop_
_space_group_symop_operation_xyz
'x,y,z'
loop_
_atom_site_label
_atom_site_fract_x
_atom_site_fract_y
_atom_site_fract_z
_atom_site_occupancy
Zr1 0.000 0.000 0.000 1
In1 0.500 0.500 0.500 1
Co1 0.250 0.250 0.250 1
Au1 0.750 0.750 0.750 1
```



[5]
This record from the Alexandria database describes PuZr2Bi after structural relaxation. The functional is GGA-PBE.

Summary:
Energy relative to the elements in meV/atom: -142

CIF file:
```
data_PuZr2Bi
_cell_length_a 4.703
_cell_length_b 4.703
_cell_length_c 4.337
_cell_angle_alpha 90.00
_cell_angle_beta 90.00
_cell_angle_gamma 90.00
_space_group_name_H-M_alt 'P 1'
_space_group_IT_number 1
loop_
_space_group_symop_operation_xyz
'x,y,z'
loop_
_atom_site_label
_atom_site_fract_x
_atom_site_fract_y
_atom_site_fract_z
_atom_site_occupancy
Pu1 0.000 0.000 0.000 1
Zr1 0.000 0.500 0.500 1
Zr2 0.500 0.000 0.500 1
Bi1 0.500 0.500 0.000 1
```



[6]
This record from the Alexandria database describes AcCuTeS after structural relaxation. The functional is GGA-PBE.

CIF file:
```
data_AcCuTeS
_cell_length_a 12.059
_cell_length_b 12.059
_cell_length_c 12.059
_cell_angle_alpha 22.43
_cell_angle_beta 22.43
_cell_angle_gamma 22.43
_space_group_name_H-M_alt 'P 1'
_space_group_IT_number 1
loop_
_space_group_symop_operation_xyz
'x,y,z'
loop_
_atom_site_label
_atom_site_fract_x
_atom_site_fract_y
_atom_site_fract_z
_atom_site_occupancy
Ac1 0.110 0.110 0.110 1
Ac2 0.890 0.890 0.890 1
Cu1 0.300 0.300 0.300 1
Cu2 0.700 0.700 0.700 1
Te1 0.379 0.379 0.379 1
Te2 0.621 0.621 0.621 1
S1 0.197 0.197 0.197 1
S2 0.803 0.803 0.803 1
```



[7]
This record from the Alexandria database describes Ho8Cd2Co after structural relaxation. The functional is GGA-PBE.

Summary:
Energy relative to the elements in meV/atom: -119

CIF file:
```
data_Ho8Cd2Co
_cell_length_a 8.726
_cell_length_b 8.726
_cell_length_c 6.118
_cell_angle_alpha 103.72
_cell_angle_beta 103.72
_cell_angle_gamma 128.49
_space_group_name_H-M_alt 'P 1'
_space_group_IT_number 1
loop_
_space_group_symop_operation_xyz
'x,y,z'
loop_
_atom_site_label
_atom_site_fract_x
_atom_site_fract_y
_atom_site_fract_z
_atom_site_occupancy
Ho1 0.000 0.000 0.000 1
Ho2 0.069 0.459 0.218 1
Ho3 0.101 0.884 0.503 1
Ho4 0.414 0.631 0.885 1
Ho5 0.459 0.069 0.218 1
Ho6 0.544 0.544 0.393 1
Ho7 0.631 0.414 0.885 1
Ho8 0.884 0.101 0.503 1
Cd1 0.554 0.981 0.714 1
Cd2 0.981 0.554 0.714 1
Co1 0.264 0.264 0.498 1
```



[8]
This record from the Alexandria database describes KCoAu2 after structural relaxation. The functional is GGA-PBE.

Summary:
Energy relative to the elements in meV/atom: 394

CIF file:
```
data_KCoAu2
_cell_length_a 5.355
_cell_length_b 5.355
_cell_length_c 2.790
_cell_angle_alpha 90.00
_cell_angle_beta 90.00
_cell_angle_gamma 90.00
_space_group_name_H-M_alt 'P 1'
_space_group_IT_number 1
loop_
_space_group_symop_operation_xyz
'x,y,z'
loop_
_atom_site_label
_atom_site_fract_x
_atom_site_fract_y
_atom_site_fract_z
_atom_site_occupancy
K1 0.000 0.000 0.000 1
Co1 0.500 0.500 0.000 1
Au1 0.000 0.500 0.500 1
Au2 0.500 0.000 0.500 1
```



[9]
This record from the Alexandria database describes La2Tb12Pm5 after structural relaxation. The functional is GGA-PBE.

Summary:
Energy relative to the elements in meV/atom: 62

CIF file:
```
data_La2Tb12Pm5
_cell_length_a 6.867
_cell_length_b 9.078
_cell_length_c 11.636
_cell_angle_alpha 98.16
_cell_angle_beta 105.11
_cell_angle_gamma 109.85
_space_group_name_H-M_alt 'P 1'
_space_group_IT_number 1
loop_
_space_group_symop_operation_xyz
'x,y,z'
loop_
_atom_site_label
_atom_site_fract_x
_atom_site_fract_y
_atom_site_fract_z
_atom_site_occupancy
La1 0.015 0.229 0.415 1
La2 0.985 0.771 0.585 1
Tb1 0.073 0.006 0.879 1
Tb2 0.115 0.473 0.727 1
Tb3 0.256 0.938 0.371 1
Tb4 0.302 0.415 0.229 1
Tb5 0.346 0.180 0.698 1
Tb6 0.492 0.877 0.851 1
Tb7 0.508 0.123 0.149 1
Tb8 0.654 0.820 0.302 1
Tb9 0.698 0.585 0.771 1
Tb10 0.744 0.062 0.629 1
Tb11 0.885 0.527 0.273 1
Tb12 0.927 0.994 0.121 1
Pm1 0.139 0.707 0.051 1
Pm2 0.390 0.653 0.517 1
Pm3 0.500 0.500 0.000 1
Pm4 0.610 0.347 0.483 1
Pm5 0.861 0.293 0.949 1
```



[10]
This record from the Alexandria database describes GdMgSiAg after structural relaxation. The functional is GGA-PBE.

CIF file:
```
data_GdMgSiAg
_cell_length_a 4.898
_cell_length_b 4.898
_cell_length_c 4.898
_cell_angle_alpha 60.00
_cell_angle_beta 60.00
_cell_angle_gamma 60.00
_space_group_name_H-M_alt 'P 1'
_space_group_IT_number 1
loop_
_space_group_symop_operation_xyz
'x,y,z'
loop_
_atom_site_label
_atom_site_fract_x
_atom_site_fract_y
_atom_site_fract_z
_atom_site_occupancy
Gd1 0.000 0.000 0.000 1
Mg1 0.500 0.500 0.500 1
Si1 0.750 0.750 0.750 1
Ag1 0.250 0.250 0.250 1
```



[11]
This record from the Alexandria database describes LaTeOs2 after structural relaxation. The functional is GGA-PBE.

CIF file:
```
data_LaTeOs2
_cell_length_a 3.035
_cell_length_b 3.961
_cell_length_c 7.238
_cell_angle_alpha 90.00
_cell_angle_beta 90.00
_cell_angle_gamma 90.00
_space_group_name_H-M_alt 'P 1'
_space_group_IT_number 1
loop_
_space_group_symop_operation_xyz
'x,y,z'
loop_
_atom_site_label
_atom_site_fract_x
_atom_site_fract_y
_atom_site_fract_z
_atom_site_occupancy
La1 0.000 0.000 0.000 1
Te1 0.500 0.500 0.655 1
Os1 0.000 0.000 0.395 1
Os2 0.500 0.500 0.269 1
```



[12]
This record from the Alexandria database describes TmLuZnPt after structural relaxation. The functional is GGA-PBE.

Summary:
Energy relative to the elements in meV/atom: -847

CIF file:
```
data_TmLuZnPt
_cell_length_a 4.899
_cell_length_b 4.899
_cell_length_c 4.899
_cell_angle_alpha 60.00
_cell_angle_beta 60.00
_cell_angle_gamma 60.00
_space_group_name_H-M_alt 'P 1'
_space_group_IT_number 1
loop_
_space_group_symop_operation_xyz
'x,y,z'
loop_
_atom_site_label
_atom_site_fract_x
_atom_site_fract_y
_atom_site_fract_z
_atom_site_occupancy
Tm1 0.000 0.000 0.000 1
Lu1 0.500 0.500 0.500 1
Zn1 0.750 0.750 0.750 1
Pt1 0.250 0.250 0.250 1
```



[13]
This record from the Alexandria database describes MgSbCl2 after structural relaxation. The functional is GGA-PBE.

CIF file:
```
data_MgSbCl2
_cell_length_a 7.878
_cell_length_b 7.878
_cell_length_c 7.878
_cell_angle_alpha 154.92
_cell_angle_beta 141.45
_cell_angle_gamma 46.54
_space_group_name_H-M_alt 'P 1'
_space_group_IT_number 1
loop_
_space_group_symop_operation_xyz
'x,y,z'
loop_
_atom_site_label
_atom_site_fract_x
_atom_site_fract_y
_atom_site_fract_z
_atom_site_occupancy
Mg1 0.000 0.000 0.000 1
Sb1 0.168 0.668 0.500 1
Cl1 0.607 0.607 0.000 1
Cl2 0.886 0.386 0.500 1
```



[14]
This record from the Alexandria database describes LaHo4Tm7 after structural relaxation. The functional is GGA-PBE.

Summary:
Energy relative to the elements in meV/atom: 79

CIF file:
```
data_LaHo4Tm7
_cell_length_a 6.645
_cell_length_b 6.925
_cell_length_c 8.668
_cell_angle_alpha 80.03
_cell_angle_beta 76.82
_cell_angle_gamma 77.19
_space_group_name_H-M_alt 'P 1'
_space_group_IT_number 1
loop_
_space_group_symop_operation_xyz
'x,y,z'
loop_
_atom_site_label
_atom_site_fract_x
_atom_site_fract_y
_atom_site_fract_z
_atom_site_occupancy
La1 0.000 0.000 0.000 1
Ho1 0.187 0.602 0.337 1
Ho2 0.346 0.234 0.682 1
Ho3 0.654 0.766 0.318 1
Ho4 0.813 0.398 0.663 1
Tm1 0.000 0.500 0.000 1
Tm2 0.185 0.103 0.370 1
Tm3 0.322 0.736 0.669 1
Tm4 0.478 0.254 0.026 1
Tm5 0.522 0.746 0.974 1
Tm6 0.678 0.264 0.331 1
Tm7 0.815 0.897 0.630 1
```



[15]
This record from the Alexandria database describes CsLaTiRe2 after structural relaxation. The functional is GGA-PBE.

Summary:
Energy relative to the elements in meV/atom: 2937

CIF file:
```
data_CsLaTiRe2
_cell_length_a 4.999
_cell_length_b 4.999
_cell_length_c 5.522
_cell_angle_alpha 90.00
_cell_angle_beta 90.00
_cell_angle_gamma 90.00
_space_group_name_H-M_alt 'P 1'
_space_group_IT_number 1
loop_
_space_group_symop_operation_xyz
'x,y,z'
loop_
_atom_site_label
_atom_site_fract_x
_atom_site_fract_y
_atom_site_fract_z
_atom_site_occupancy
Cs1 0.000 0.000 0.000 1
La1 0.000 0.000 0.500 1
Ti1 0.500 0.500 0.500 1
Re1 0.000 0.500 0.000 1
Re2 0.500 0.000 0.000 1
```



[16]
This record from the Alexandria database describes CdGe2Pt4 after structural relaxation. The functional is GGA-PBE.

Summary:
Energy relative to the elements in meV/atom: -266

CIF file:
```
data_CdGe2Pt4
_cell_length_a 7.578
_cell_length_b 7.578
_cell_length_c 5.712
_cell_angle_alpha 112.02
_cell_angle_beta 112.02
_cell_angle_gamma 57.69
_space_group_name_H-M_alt 'P 1'
_space_group_IT_number 1
loop_
_space_group_symop_operation_xyz
'x,y,z'
loop_
_atom_site_label
_atom_site_fract_x
_atom_site_fract_y
_atom_site_fract_z
_atom_site_occupancy
Cd1 0.106 0.106 0.357 1
Cd2 0.894 0.894 0.643 1
Ge1 0.012 0.369 0.943 1
Ge2 0.366 0.634 0.500 1
Ge3 0.367 0.633 0.000 1
Ge4 0.631 0.988 0.057 1
Pt1 0.041 0.735 0.137 1
Pt2 0.265 0.959 0.863 1
Pt3 0.338 0.277 0.797 1
Pt4 0.340 0.275 0.318 1
Pt5 0.665 0.329 0.247 1
Pt6 0.671 0.335 0.753 1
Pt7 0.723 0.662 0.203 1
Pt8 0.725 0.660 0.682 1
```



[17]
This record from the Alexandria database describes HfH2I4 after structural relaxation. The functional is GGA-PBE.

CIF file:
```
data_HfH2I4
_cell_length_a 4.059
_cell_length_b 7.763
_cell_length_c 8.351
_cell_angle_alpha 114.75
_cell_angle_beta 103.50
_cell_angle_gamma 91.71
_space_group_name_H-M_alt 'P 1'
_space_group_IT_number 1
loop_
_space_group_symop_operation_xyz
'x,y,z'
loop_
_atom_site_label
_atom_site_fract_x
_atom_site_fract_y
_atom_site_fract_z
_atom_site_occupancy
Hf1 0.000 0.000 0.000 1
H1 0.401 0.193 0.772 1
H2 0.599 0.807 0.228 1
I1 0.100 0.806 0.230 1
I2 0.375 0.738 0.770 1
I3 0.625 0.262 0.230 1
I4 0.900 0.194 0.770 1
```



[18]
This record from the Alexandria database describes PuHf2Sc after structural relaxation. The functional is GGA-PBE.

Summary:
Energy relative to the elements in meV/atom: 127

CIF file:
```
data_PuHf2Sc
_cell_length_a 10.592
_cell_length_b 10.592
_cell_length_c 10.592
_cell_angle_alpha 17.48
_cell_angle_beta 17.48
_cell_angle_gamma 17.48
_space_group_name_H-M_alt 'P 1'
_space_group_IT_number 1
loop_
_space_group_symop_operation_xyz
'x,y,z'
loop_
_atom_site_label
_atom_site_fract_x
_atom_site_fract_y
_atom_site_fract_z
_atom_site_occupancy
Pu1 0.000 0.000 0.000 1
Hf1 0.250 0.250 0.250 1
Hf2 0.417 0.417 0.417 1
Sc1 0.834 0.834 0.834 1
```



[19]
This record from the Alexandria database describes Ti3NbAl2 after structural relaxation. The functional is GGA-PBE.

Summary:
Energy relative to the elements in meV/atom: -331

CIF file:
```
data_Ti3NbAl2
_cell_length_a 4.593
_cell_length_b 4.593
_cell_length_c 5.475
_cell_angle_alpha 90.00
_cell_angle_beta 90.00
_cell_angle_gamma 120.00
_space_group_name_H-M_alt 'P 1'
_space_group_IT_number 1
loop_
_space_group_symop_operation_xyz
'x,y,z'
loop_
_atom_site_label
_atom_site_fract_x
_atom_site_fract_y
_atom_site_fract_z
_atom_site_occupancy
Ti1 0.000 0.000 0.000 1
Ti2 0.333 0.667 0.729 1
Ti3 0.667 0.333 0.271 1
Nb1 0.000 0.000 0.500 1
Al1 0.333 0.667 0.235 1
Al2 0.667 0.333 0.765 1
```



[20]
This record from the Alexandria database describes MnFe2Cu after structural relaxation. The functional is GGA-PBE.

Summary:
Energy relative to the elements in meV/atom: 153

CIF file:
```
data_MnFe2Cu
_cell_length_a 2.445
_cell_length_b 2.445
_cell_length_c 8.149
_cell_angle_alpha 90.00
_cell_angle_beta 90.00
_cell_angle_gamma 108.87
_space_group_name_H-M_alt 'P 1'
_space_group_IT_number 1
loop_
_space_group_symop_operation_xyz
'x,y,z'
loop_
_atom_site_label
_atom_site_fract_x
_atom_site_fract_y
_atom_site_fract_z
_atom_site_occupancy
Mn1 0.000 0.000 0.000 1
Fe1 0.500 0.500 0.245 1
Fe2 0.500 0.500 0.755 1
Cu1 0.000 0.000 0.500 1
```



no.,calculated density (g cm⁻³),electronic total energy (eV/atom)
1,4.77,-6.042
2,7.87,-4.677
3,6.41,-3.508
4,10.67,-5.656
5,11.00,-8.969
6,6.68,-5.072
7,8.71,-4.260
8,10.21,-3.296
9,7.58,-4.631
10,6.35,-6.315
11,12.35,-7.423
12,12.07,-4.924
13,2.80,-3.164
14,8.76,-4.466
15,8.33,-4.777
16,13.76,-5.167
17,4.97,-3.468
18,11.47,-10.016
19,4.82,-7.204
20,8.29,-7.395